No. 1
# YI2Cl | the Alexandria database | PBE-GGA | relaxed
data_YI2Cl
_chemical_formula_sum 'Y1 I2 Cl1'
_cell_length_a 4.353
_cell_length_b 5.295
_cell_length_c 8.620
_cell_angle_alpha 90.80
_cell_angle_beta 104.42
_cell_angle_gamma 90.01
_space_group_name_H-M_alt 'P -1'
_space_group_IT_number 2
loop_
_space_group_symop_operation_xyz
'x,y,z'
'-x,-y,-z'
loop_
_atom_site_label
_atom_site_type_symbol
_atom_site_fract_x
_atom_site_fract_y
_atom_site_fract_z
Y1 Y 0.000 0.000 0.000
I1 I 0.374 0.994 0.744
Cl1 Cl 0.000 0.500 0.000
# E_form (uncorrected) = -1.676 eV/atom
# Energy above the lowest structure with this stoichiometry = 0.0 meV per atom

---

No. 2
# ScCrNiGe | the Alexandria database | PBE-GGA | relaxed
data_ScCrNiGe
_chemical_formula_sum 'Sc1 Cr1 Ni1 Ge1'
_cell_length_a 3.010
_cell_length_b 3.536
_cell_length_c 5.762
_cell_angle_alpha 90.00
_cell_angle_beta 90.00
_cell_angle_gamma 90.00
_space_group_name_H-M_alt 'P m m 2'
_space_group_IT_number 25
loop_
_space_group_symop_operation_xyz
'x,y,z'
'-x,-y,z'
'-x,y,z'
'x,-y,z'
loop_
_atom_site_label
_atom_site_type_symbol
_atom_site_fract_x
_atom_site_fract_y
_atom_site_fract_z
Sc1 Sc 0.000 0.000 0.000
Cr1 Cr 0.000 0.000 0.487
Ni1 Ni 0.500 0.500 0.259
Ge1 Ge 0.500 0.500 0.696
# Energy above the lowest structure with this stoichiometry = 73.3 meV per atom

---

No. 3
# BeSe2Cl2 | the Alexandria database | PBE-GGA | relaxed
data_BeSe2Cl2
_chemical_formula_sum 'Be2 Se4 Cl4'
_cell_length_a 5.690
_cell_length_b 5.690
_cell_length_c 8.011
_cell_angle_alpha 90.00
_cell_angle_beta 90.00
_cell_angle_gamma 90.00
_space_group_name_H-M_alt 'I 4/m m m'
_space_group_IT_number 139
_space_group_name_Hall '-I 4 2'
loop_
_atom_site_label
_atom_site_type_symbol
_atom_site_fract_x
_atom_site_fract_y
_atom_site_fract_z
Be1 Be 0.000 0.000 0.000
Se1 Se 0.000 0.000 0.258
Cl1 Cl 0.000 0.500 0.250
# E_form (uncorrected) = 0.093 eV/atom
# Energy above the lowest structure with this stoichiometry = 59.0 meV per atom

---

No. 4
# NbCu2Au | the Alexandria database | PBE-GGA | relaxed
data_NbCu2Au
_chemical_formula_sum 'Nb1 Cu2 Au1'
_cell_length_a 2.788
_cell_length_b 2.788
_cell_length_c 7.833
_cell_angle_alpha 90.00
_cell_angle_beta 90.00
_cell_angle_gamma 90.00
_space_group_name_H-M_alt 'P 4/m m m'
_space_group_IT_number 123
_space_group_name_Hall '-P 4 2'
loop_
_atom_site_label
_atom_site_type_symbol
_atom_site_fract_x
_atom_site_fract_y
_atom_site_fract_z
Nb1 Nb 0.000 0.000 0.000
Cu1 Cu 0.500 0.500 0.253
Au1 Au 0.000 0.000 0.500
# Energy above the lowest structure with this stoichiometry = 8.5 meV per atom

---

No. 5
# ScZn2Mo | the Alexandria database | PBE-GGA | relaxed
data_ScZn2Mo
_chemical_formula_sum 'Sc1 Zn2 Mo1'
_cell_length_a 2.894
_cell_length_b 4.243
_cell_length_c 5.560
_cell_angle_alpha 90.00
_cell_angle_beta 103.85
_cell_angle_gamma 90.00
_space_group_name_H-M_alt 'P 1 m 1'
_space_group_IT_number 6
loop_
_space_group_symop_operation_xyz
'x,y,z'
'x,-y,z'
loop_
_atom_site_label
_atom_site_type_symbol
_atom_site_fract_x
_atom_site_fract_y
_atom_site_fract_z
Sc1 Sc 0.000 0.000 0.000
Zn1 Zn 0.613 0.500 0.235
Zn2 Zn 0.732 0.000 0.493
Mo1 Mo 0.347 0.500 0.711
# Energy above the lowest structure with this stoichiometry = 87.9 meV per atom

---

No. 6
# MgMo2Cl | the Alexandria database | PBE-GGA | relaxed
data_MgMo2Cl
_chemical_formula_sum 'Mg1 Mo2 Cl1'
_cell_length_a 3.183
_cell_length_b 3.183
_cell_length_c 8.134
_cell_angle_alpha 90.00
_cell_angle_beta 90.00
_cell_angle_gamma 90.00
_space_group_name_H-M_alt 'P 4 m m'
_space_group_IT_number 99
loop_
_space_group_symop_operation_xyz
'x,y,z'
'-y,x,z'
'-x,-y,z'
'y,-x,z'
'-x,y,z'
'y,x,z'
'x,-y,z'
'-y,-x,z'
loop_
_atom_site_label
_atom_site_type_symbol
_atom_site_fract_x
_atom_site_fract_y
_atom_site_fract_z
Mg1 Mg 0.000 0.000 0.000
Mo1 Mo 0.000 0.000 0.399
Mo2 Mo 0.500 0.500 0.245
Cl1 Cl 0.500 0.500 0.820
# E_form (uncorrected) = 0.073 eV/atom
# Energy above the lowest structure with this stoichiometry = 109.4 meV per atom

---

No. 7
# NdZr2W | the Alexandria database | PBE-GGA | relaxed
data_NdZr2W
_chemical_formula_sum 'Nd3 Zr6 W3'
_cell_length_a 3.2591
_cell_length_b 3.2591
_cell_length_c 31.9181
_cell_angle_alpha 90.00
_cell_angle_beta 90.00
_cell_angle_gamma 120.00
_space_group_name_H-M_alt 'R -3 m'
_space_group_IT_number 166
_space_group_name_Hall '-R 3 2"'
loop_
_atom_site_label
_atom_site_type_symbol
_atom_site_fract_x
_atom_site_fract_y
_atom_site_fract_z
Nd1 Nd 0.0000 0.0000 0.0000
Zr1 Zr 0.0000 0.0000 0.1015
W1 W 0.0000 0.0000 0.5000
# Total energy = -0.60768 Ry/atom

---

No. 8
# Zn7CuPd3 | the Alexandria database | PBE-GGA | relaxed
data_Zn7CuPd3
_chemical_formula_sum 'Zn28 Cu4 Pd12'
_cell_length_a 2.804
_cell_length_b 28.481
_cell_length_c 10.202
_cell_angle_alpha 90.00
_cell_angle_beta 90.00
_cell_angle_gamma 90.00
_space_group_name_H-M_alt 'C m c m'
_space_group_IT_number 63
_space_group_name_Hall '-C 2c 2'
loop_
_atom_site_label
_atom_site_type_symbol
_atom_site_fract_x
_atom_site_fract_y
_atom_site_fract_z
Zn1 Zn 0.000 0.011 0.124
Zn2 Zn 0.000 0.081 0.750
Zn3 Zn 0.000 0.127 0.082
Zn4 Zn 0.000 0.227 0.086
Cu1 Cu 0.000 0.427 0.750
Pd1 Pd 0.000 0.323 0.750
Pd2 Pd 0.000 0.435 0.041
# Total energy = -0.20647 Ry/atom

---

No. 9
# YTaZn2 | the Alexandria database | PBE-GGA | relaxed
data_YTaZn2
_chemical_formula_sum 'Y1 Ta1 Zn2'
_cell_length_a 4.845
_cell_length_b 4.845
_cell_length_c 3.192
_cell_angle_alpha 90.00
_cell_angle_beta 90.00
_cell_angle_gamma 90.00
_space_group_name_H-M_alt 'P 4/m m m'
_space_group_IT_number 123
_space_group_name_Hall '-P 4 2'
loop_
_atom_site_label
_atom_site_type_symbol
_atom_site_fract_x
_atom_site_fract_y
_atom_site_fract_z
Y1 Y 0.000 0.000 0.000
Ta1 Ta 0.500 0.500 0.000
Zn1 Zn 0.000 0.500 0.500
# Energy above the lowest structure with this stoichiometry = 73.4 meV per atom

---

No. 10
# SrTbTl4 | the Alexandria database | PBE-GGA | relaxed
data_SrTbTl4
_chemical_formula_sum 'Sr4 Tb4 Tl16'
_cell_length_a 9.000
_cell_length_b 9.000
_cell_length_c 9.000
_cell_angle_alpha 90.00
_cell_angle_beta 90.00
_cell_angle_gamma 90.00
_space_group_name_H-M_alt 'F -4 3 m'
_space_group_IT_number 216
_space_group_name_Hall 'F -4 2 3'
loop_
_atom_site_label
_atom_site_type_symbol
_atom_site_fract_x
_atom_site_fract_y
_atom_site_fract_z
Sr1 Sr 0.000 0.000 0.000
Tb1 Tb 0.250 0.250 0.250
Tl1 Tl 0.125 0.125 0.625
# Energy above the lowest structure with this stoichiometry = 148.7 meV per atom

---

No. 11
# Ba3Ga8Ag3 | the Alexandria database | PBE-GGA | relaxed
data_Ba3Ga8Ag3
_chemical_formula_sum 'Ba6 Ga16 Ag6'
_cell_length_a 17.099
_cell_length_b 4.661
_cell_length_c 10.661
_cell_angle_alpha 90.00
_cell_angle_beta 127.86
_cell_angle_gamma 90.00
_space_group_name_H-M_alt 'C 1 2/m 1'
_space_group_IT_number 12
loop_
_space_group_symop_operation_xyz
'x,y,z'
'-x,-y,-z'
'-x,y,-z'
'x,-y,z'
'x+1/2,y+1/2,z'
'-x+1/2,-y+1/2,-z'
'-x+1/2,y+1/2,-z'
'x+1/2,-y+1/2,z'
loop_
_atom_site_label
_atom_site_type_symbol
_atom_site_fract_x
_atom_site_fract_y
_atom_site_fract_z
Ba1 Ba 0.000 0.000 0.000
Ba2 Ba 0.200 0.500 0.700
Ga1 Ga 0.002 0.500 0.303
Ga2 Ga 0.124 0.000 0.838
Ga3 Ga 0.139 0.000 0.416
Ga4 Ga 0.163 0.500 0.304
Ag1 Ag 0.000 0.000 0.500
Ag2 Ag 0.162 0.500 0.009
# Energy above the lowest structure with this stoichiometry = 31.2 meV per atom

---

No. 12
# SmLuGaOs | the Alexandria database | PBE-GGA | relaxed
data_SmLuGaOs
_chemical_formula_sum 'Sm4 Lu4 Ga4 Os4'
_cell_length_a 6.972
_cell_length_b 6.972
_cell_length_c 6.972
_cell_angle_alpha 90.00
_cell_angle_beta 90.00
_cell_angle_gamma 90.00
_space_group_name_H-M_alt 'F -4 3 m'
_space_group_IT_number 216
_space_group_name_Hall 'F -4 2 3'
loop_
_atom_site_label
_atom_site_type_symbol
_atom_site_fract_x
_atom_site_fract_y
_atom_site_fract_z
Sm1 Sm 0.000 0.000 0.000
Lu1 Lu 0.000 0.000 0.500
Ga1 Ga 0.250 0.250 0.750
Os1 Os 0.250 0.250 0.250
# Total energy = -0.45549 Ry/atom

---

The records above yield N(E_F) values of 0.0, 2.7, 3.7, 2.1, 4.5, 3.4, 15.7, 19.6, 2.6, 28.8, 12.4, 10.8 states/eV/cell, respectively.
The records above yield total moment values of 0.0, 3.0, 0.0, 0.0, 0.0, 0.0, 0.0, 0.0, 0.0, 0.0, 0.0, 0.0 μB per formula unit, respectively.